## Be4CoBr (meta-GGA SCAN)

Data for a PBEsol-optimized structure of Be4CoBr.

## Properties
total moment	0.01	μB per formula unit
SG	F-43m, No. 216
crystal system	cubic
formation energy (no corrections)	4.040	eV per formula unit

Cell and atoms, written as CIF:
```
data_Be4CoBr
_cell_length_a 4.4293
_cell_length_b 4.4293
_cell_length_c 4.4293
_cell_angle_alpha 60.00
_cell_angle_beta 60.00
_cell_angle_gamma 60.00
_symmetry_space_group_name_H-M 'P 1'
_symmetry_Int_Tables_number 1
loop_
_symmetry_equiv_pos_as_xyz
'x,y,z'
loop_
_atom_site_label
_atom_site_fract_x
_atom_site_fract_y
_atom_site_fract_z
Be1 0.3777 0.3777 0.3777
Be2 0.3777 0.3777 0.8670
Be3 0.3777 0.8670 0.3777
Be4 0.8670 0.3777 0.3777
Co1 0.7500 0.7500 0.7500
Br1 0.0000 0.0000 0.0000
```